# PBE-GGA Ca2HgSb3Pd4, relaxed
data_Ca2HgSb3Pd4
_symmetry_space_group_name_H-M 'P -4 m 2'
_symmetry_Int_Tables_number 115
_symmetry_space_group_name_Hall 'P -4 -2'
_cell_length_a 4.564
_cell_length_b 4.564
_cell_length_c 10.967
_cell_angle_alpha 90.00
_cell_angle_beta 90.00
_cell_angle_gamma 90.00
loop_
_atom_site_label
_atom_site_type_symbol
_atom_site_fract_x
_atom_site_fract_y
_atom_site_fract_z
Ca1 Ca 0.000 0.500 0.239
Hg1 Hg 0.000 0.000 0.500
Sb1 Sb 0.000 0.500 0.871
Sb2 Sb 0.500 0.500 0.500
Pd1 Pd 0.000 0.000 0.000
Pd2 Pd 0.000 0.500 0.638
Pd3 Pd 0.500 0.500 0.000
# - Fermi-level density of states: 4.31 states/eV per cell
# - Formation energy from raw total energies: -0.655 eV per atom
# - DFT total energy: -44.00 eV per cell